The following is a PBE-GGA calculation of an optimized crystal structure of Ac8AgTe4P3, from Alexandria.

Calculated values
- V: 1667 Å³/cell
- Total energy: -0.19794 hartree per atom
- Crystal system: trigonal

a = 9.1444 Å, b = 9.1444 Å, c = 23.0213 Å
α = 90.00°, β = 90.00°, γ = 120.00°
Last column: nearest neighbours and their distance in Å.
Space group R-3m (No. 166, hexagonal axes)
Asymmetric unit:
Ac1 0.0000 0.0000 0.2384 x6  3 P 3.11, 3 Te 3.43
Ac2 0.0102 0.5051 0.7584 x18  2 P 3.12, 1 Ag 3.22, 3 Te 3.32-3.41
Ag1 0.0000 0.0000 0.5000 x3  6 Ac 3.22
Te1 0.0000 0.0000 0.0000 x3  6 Ac 3.32
Te2 0.0000 0.5000 0.0000 x9  6 Ac 3.41-3.43
P1 0.0000 0.5000 0.5000 x9  6 Ac 3.11-3.12

The following is a PBE-GGA calculation of an optimized crystal structure of NdSi2Ni9, from Alexandria.

Calculated values
- V: 601 Å³/cell
- Total energy: -0.22427 hartree per atom
- Crystal system: tetragonal

a = 9.8314 Å, b = 9.8314 Å, c = 6.2134 Å
α = 90.00°, β = 90.00°, γ = 90.00°
Last column: nearest neighbours and their distance in Å.
Space group I4_1/amd (No. 141, origin choice 2)
Asymmetric unit:
Nd1 0.0000 0.2500 0.3750 x4  18 Ni 3.05-3.19, 4 Si 3.39
Si1 0.0000 0.0000 0.0000 x8  10 Ni 2.34-2.58
Ni1 0.0000 0.2500 0.8750 x4  4 Si 2.58, 8 Ni 2.62
Ni2 0.1245 0.0465 0.6881 x32  2 Si 2.34-2.38, 8 Ni 2.42-2.62

The following is a PBE-GGA calculation of an optimized crystal structure of HgIr3F, from Alexandria.

Calculated values
- V: 129 Å³/cell
- Total energy: -0.11938 hartree per atom
- Crystal system: cubic

a = 5.0558 Å, b = 5.0558 Å, c = 5.0558 Å
α = 90.00°, β = 90.00°, γ = 90.00°
Last column: nearest neighbours and their distance in Å.
Space group Pm-3m (No. 221)
Asymmetric unit:
Hg1 0.0000 0.0000 0.0000 x1  6 Ir 2.53
Ir1 0.0000 0.0000 0.5000 x3  2 Hg 2.53
F1 0.5000 0.5000 0.5000 x1  12 Ir 3.57

The following is a PBE-GGA calculation of an optimized crystal structure of Rb8SI3Br3, from Alexandria.

Calculated values
- V: 2302 Å³/cell
- Total energy: -0.10721 hartree per atom
- Crystal system: trigonal

a = 10.1669 Å, b = 10.1669 Å, c = 25.7171 Å
α = 90.00°, β = 90.00°, γ = 120.00°
Last column: nearest neighbours and their distance in Å.
Space group R-3m (No. 166, hexagonal axes)
Asymmetric unit:
Rb1 0.0000 0.0000 0.2442 x6  3 Br 3.55, 3 I 3.72
Rb2 0.0346 0.5173 0.2363 x18  1 S 3.18
S1 0.0000 0.0000 0.5000 x3  6 Rb 3.18
I1 0.0000 0.5000 0.0000 x9  6 Rb 3.72-3.75
Br1 0.0000 0.5000 0.5000 x9  6 Rb 3.55-3.58

The following is a PBE-GGA calculation of an optimized crystal structure of K2Li3TeO6, from Alexandria.

Calculated values
- V: 347 Å³/cell
- Total energy: -0.17989 hartree per atom
- Crystal system: monoclinic

a = 5.9354 Å, b = 11.9789 Å, c = 5.2661 Å
α = 90.00°, β = 112.16°, γ = 90.00°
Last column: nearest neighbours and their distance in Å.
Space group C2/m (No. 12)
Asymmetric unit:
K1 0.0000 0.1786 0.0000 x4  6 O 2.71-2.86
Li1 0.0000 0.0000 0.5000 x2  4 O 2.23
Li2 0.0000 0.4000 0.5000 x4  4 O 1.97-2.04
Te1 0.0000 0.5000 0.0000 x2  6 O 1.95-1.97
O1 0.1983 0.3863 0.2572 x8  1 Te 1.97, 1 Li 2.04
O2 0.2091 0.5000 0.7899 x4  1 Te 1.95, 2 Li 1.97

The following is a PBE-GGA calculation of an optimized crystal structure of Li2CrPd, from Alexandria.

Calculated values
- V: 225 Å³/cell
- Energy relative to the elements: 0.65 eV/atom
- Total energy: -0.14733 hartree per atom
- Crystal system: tetragonal

a = 6.7529 Å, b = 6.7529 Å, c = 4.9296 Å
α = 90.00°, β = 90.00°, γ = 90.00°
Last column: nearest neighbours and their distance in Å.
Space group I-42d (No. 122)
Asymmetric unit:
Li1 0.2405 0.2500 0.1250 x8  2 Pd 2.42, 2 Li 2.47, 2 Cr 2.51
Cr1 0.0000 0.0000 0.5000 x4  2 Pd 2.46, 4 Li 2.51
Pd1 0.0000 0.0000 0.0000 x4  4 Li 2.42, 2 Cr 2.46